(1)
A PBEsol-optimized structure of Ca2NbFeO6, computed with SCAN.

## Properties
Spin magnetization = 5.00 μB/f.u.
Formation energy (no corrections) = -2.8192 eV/atom

abc: 5.4107 5.5770 7.7201
angles: 90.00 89.73 90.00
Positions (direct):
O (0.2990, 0.2057, 0.4497)
O (0.2971, 0.2029, 0.0479)
O (0.2029, 0.7029, 0.4521)
O (0.7971, 0.2971, 0.5479)
O (0.5936, 0.5288, 0.2499)
O (0.4064, 0.4712, 0.7501)
O (0.7990, 0.2943, 0.9497)
O (0.2010, 0.7057, 0.0503)
O (0.9064, 0.0288, 0.2501)
O (0.0936, 0.9712, 0.7499)
O (0.7029, 0.7971, 0.9521)
O (0.7010, 0.7943, 0.5503)
Ca (0.9868, 0.5530, 0.7483)
Ca (0.5132, 0.0530, 0.7517)
Ca (0.0132, 0.4470, 0.2517)
Ca (0.4868, 0.9470, 0.2483)
Fe (0.5000, 0.5000, 0.0000)
Fe (0.0000, 0.0000, 0.5000)
Nb (0.0000, 0.0000, 0.0000)
Nb (0.5000, 0.5000, 0.5000)

(2)
A PBEsol-optimized structure of Ca3FeNi, computed with SCAN.

## Properties
Spin magnetization = 3.16 μB/f.u.
Formation energy = 0.5069 eV per atom
Density of states at the Fermi level = 9.2 states/eV/cell

abc: 5.2096 5.2096 5.2096
angles: 90.00 90.00 90.00
Positions (direct):
Ca (0.0000, 0.5000, 0.0000)
Ca (0.0000, 0.0000, 0.5000)
Ca (0.5000, 0.0000, 0.0000)
Fe (0.5000, 0.5000, 0.5000)
Ni (0.0000, 0.0000, 0.0000)

(3)
A PBEsol-optimized structure of CaTi2FeNi, computed with SCAN.

## Properties
Spin magnetization = 0.57 μB/f.u.
Formation energy = 0.3693 eV per atom
Density of states at the Fermi level = 4.8 states/eV/cell

abc: 4.5458 4.5458 4.5551
angles: 90.00 90.00 90.00
Positions (direct):
Ca (0.5000, 0.5000, 0.5000)
Fe (0.0000, 0.0000, 0.5000)
Ti (0.5000, 0.0000, 0.0000)
Ti (0.0000, 0.5000, 0.0000)
Ni (0.0000, 0.0000, 0.0000)